GGA-PBE CaSnO2F, optimized geometry; space-group type = P4/mmm; final energy = -5.122 eV per atom; V = 83.06 Å³/cell
1.0
-4.351 -0.496 0.545
-0.123 -2.729 -3.466
0.702 -3.317 2.587
Ca Sn O F
1 1 2 1
Direct
0.000 0.000 0.000
0.500 0.500 0.500
0.000 0.500 0.000
0.500 0.000 0.000
0.000 0.000 0.500